[1]
# CuNi2Hg PBE relaxed
data_CuNi2Hg
_chemical_formula_sum 'Cu4 Ni8 Hg4'
_space_group_name_H-M_alt 'I -4 2 d'
_space_group_IT_number 122
_space_group_name_Hall 'I -4 2bw'
_cell_length_a 3.665
_cell_length_b 3.665
_cell_length_c 17.828
_cell_angle_alpha 90.00
_cell_angle_beta 90.00
_cell_angle_gamma 90.00
loop_
_atom_site_label
_atom_site_fract_x
_atom_site_fract_y
_atom_site_fract_z
Cu1 0.000 0.000 0.000
Ni1 0.216 0.250 0.125
Hg1 0.000 0.000 0.500
# - E: -56.19 eV/cell
# - ΔH_f (0 K): 478 meV per atom



[2]
# CsYCu2Cl8 PBE relaxed
data_CsYCu2Cl8
_chemical_formula_sum 'Cs2 Y2 Cu4 Cl16'
_space_group_name_H-M_alt 'C 1 2/m 1'
_space_group_IT_number 12
_space_group_name_Hall '-C 2y'
_cell_length_a 9.796
_cell_length_b 7.523
_cell_length_c 10.643
_cell_angle_alpha 90.00
_cell_angle_beta 90.32
_cell_angle_gamma 90.00
loop_
_atom_site_label
_atom_site_fract_x
_atom_site_fract_y
_atom_site_fract_z
Cs1 0.000 0.000 0.000
Y1 0.000 0.000 0.500
Cu1 0.129 0.500 0.298
Cl1 0.013 0.230 0.309
Cl2 0.161 0.500 0.095
Cl3 0.228 0.500 0.489
# - E: -91.70 eV/cell
# - ΔE_f (raw): -1297.3 meV per atom



[3]
# TlZnMo2 PBE relaxed
data_TlZnMo2
_chemical_formula_sum 'Tl2 Zn2 Mo4'
_space_group_name_H-M_alt 'C 1 2/m 1'
_space_group_IT_number 12
_space_group_name_Hall '-C 2y'
_cell_length_a 5.542
_cell_length_b 9.206
_cell_length_c 2.820
_cell_angle_alpha 90.00
_cell_angle_beta 106.08
_cell_angle_gamma 90.00
loop_
_atom_site_label
_atom_site_fract_x
_atom_site_fract_y
_atom_site_fract_z
Tl1 0.000 0.000 0.000
Zn1 0.000 0.500 0.000
Mo1 0.250 0.250 0.500
# - E: -46.08 eV/cell
# - Excess energy over the best structure of this formula in the dataset: 230.2 meV/atom
# - ΔH_f (0 K): 566 meV per atom



[4]
# CuAs3W PBE relaxed
data_CuAs3W
_chemical_formula_sum 'Cu1 As3 W1'
_space_group_name_H-M_alt 'P m -3 m'
_space_group_IT_number 221
_space_group_name_Hall '-P 4 2 3'
_cell_length_a 4.884
_cell_length_b 4.884
_cell_length_c 4.884
_cell_angle_alpha 90.00
_cell_angle_beta 90.00
_cell_angle_gamma 90.00
loop_
_atom_site_label
_atom_site_fract_x
_atom_site_fract_y
_atom_site_fract_z
Cu1 0.000 0.000 0.000
As1 0.000 0.500 0.500
W1 0.500 0.500 0.500
# - E: -27.13 eV/cell
# - Excess energy over the best structure of this formula in the dataset: 0.0 meV/atom
# - ΔH_f (0 K): 774 meV per atom



[5]
# BeIn2Br PBE relaxed
data_BeIn2Br
_chemical_formula_sum 'Be4 In8 Br4'
_space_group_name_H-M_alt 'F -4 3 m'
_space_group_IT_number 216
_space_group_name_Hall 'F -4 2 3'
_cell_length_a 7.422
_cell_length_b 7.422
_cell_length_c 7.422
_cell_angle_alpha 90.00
_cell_angle_beta 90.00
_cell_angle_gamma 90.00
loop_
_atom_site_label
_atom_site_fract_x
_atom_site_fract_y
_atom_site_fract_z
Be1 0.000 0.000 0.000
In1 0.000 0.000 0.500
In2 0.250 0.250 0.250
Br1 0.250 0.250 0.750
# - E: -35.05 eV/cell
# - ΔE_f (raw): 528.5 meV per atom
# - Excess energy over the best structure of this formula in the dataset: 527.2 meV/atom



[6]
# Nd4Dy2Tm PBE relaxed
data_Nd4Dy2Tm
_chemical_formula_sum 'Nd32 Dy16 Tm8'
_space_group_name_H-M_alt 'F d d 2'
_space_group_IT_number 43
_space_group_name_Hall 'F 2 -2d'
_cell_length_a 12.002
_cell_length_b 24.284
_cell_length_c 6.474
_cell_angle_alpha 90.00
_cell_angle_beta 90.00
_cell_angle_gamma 90.00
loop_
_atom_site_label
_atom_site_fract_x
_atom_site_fract_y
_atom_site_fract_z
Nd1 0.052 0.070 0.000
Nd2 0.069 0.144 0.532
Dy1 0.024 0.216 0.056
Tm1 0.000 0.000 0.496
# - E: -258.69 eV/cell
# - Excess energy over the best structure of this formula in the dataset: 0.0 meV/atom
# - ΔH_f (0 K): 59 meV per atom



[7]
# Dy3In2Ga PBE relaxed
data_Dy3In2Ga
_chemical_formula_sum 'Dy3 In2 Ga1'
_space_group_name_H-M_alt 'P -3 m 1'
_space_group_IT_number 164
_space_group_name_Hall '-P 3 2"'
_cell_length_a 5.2267
_cell_length_b 5.2267
_cell_length_c 6.4317
_cell_angle_alpha 90.00
_cell_angle_beta 90.00
_cell_angle_gamma 120.00
loop_
_atom_site_label
_atom_site_fract_x
_atom_site_fract_y
_atom_site_fract_z
Dy1 0.0000 0.0000 0.0000
Dy2 0.3333 0.6667 0.6542
In1 0.3333 0.6667 0.1596
Ga1 0.0000 0.0000 0.5000
# - E: -25.22 eV/cell
# - Excess energy over the best structure of this formula in the dataset: 15.3 meV/atom
# - ΔH_f (0 K): -484 meV per atom



[8]
# Ce2SnRh3 PBE relaxed
data_Ce2SnRh3
_chemical_formula_sum 'Ce4 Sn2 Rh6'
_space_group_name_H-M_alt 'P 63/m m c'
_space_group_IT_number 194
_space_group_name_Hall '-P 6c 2c'
_cell_length_a 4.5135
_cell_length_b 4.5135
_cell_length_c 14.4982
_cell_angle_alpha 90.00
_cell_angle_beta 90.00
_cell_angle_gamma 120.00
loop_
_atom_site_label
_atom_site_fract_x
_atom_site_fract_y
_atom_site_fract_z
Ce1 0.0000 0.0000 0.1207
Sn1 0.3333 0.6667 0.2500
Rh1 0.3333 0.6667 0.0014
Rh2 0.3333 0.6667 0.7500
# - E: -82.83 eV/cell
# - ΔH_f (0 K): -582 meV per atom



[9]
# AuSe3Br PBE relaxed
data_AuSe3Br
_chemical_formula_sum 'Au1 Se3 Br1'
_space_group_name_H-M_alt 'P m -3 m'
_space_group_IT_number 221
_space_group_name_Hall '-P 4 2 3'
_cell_length_a 5.130
_cell_length_b 5.130
_cell_length_c 5.130
_cell_angle_alpha 90.00
_cell_angle_beta 90.00
_cell_angle_gamma 90.00
loop_
_atom_site_label
_atom_site_fract_x
_atom_site_fract_y
_atom_site_fract_z
Au1 0.000 0.000 0.000
Se1 0.000 0.000 0.500
Br1 0.500 0.500 0.500
# - E: -11.88 eV/cell
# - ΔE_f (raw): 705.7 meV per atom
# - Excess energy over the best structure of this formula in the dataset: 0.0 meV/atom



[10]
# BaPmCd17 PBE relaxed
data_BaPmCd17
_chemical_formula_sum 'Ba3 Pm3 Cd51'
_space_group_name_H-M_alt 'R 3 m'
_space_group_IT_number 160
_space_group_name_Hall 'R 3 -2"'
_cell_length_a 10.2327
_cell_length_b 10.2327
_cell_length_c 15.1398
_cell_angle_alpha 90.00
_cell_angle_beta 90.00
_cell_angle_gamma 120.00
loop_
_atom_site_label
_atom_site_fract_x
_atom_site_fract_y
_atom_site_fract_z
Ba1 0.0000 0.0000 0.0000
Pm1 0.0000 0.0000 0.6650
Cd1 0.0000 0.0000 0.2430
Cd2 0.0000 0.0000 0.4413
Cd3 0.0035 0.2989 0.3350
Cd4 0.0087 0.5044 0.1897
Cd5 0.0179 0.5089 0.8315
Cd6 0.0366 0.5183 0.4837
# - E: -76.13 eV/cell
# - ΔH_f (0 K): -166 meV per atom



[11]
# Ca2Mg2Ag15 PBE relaxed
data_Ca2Mg2Ag15
_chemical_formula_sum 'Ca6 Mg6 Ag45'
_space_group_name_H-M_alt 'R -3 m'
_space_group_IT_number 166
_space_group_name_Hall '-R 3 2"'
_cell_length_a 9.6523
_cell_length_b 9.6523
_cell_length_c 14.4006
_cell_angle_alpha 90.00
_cell_angle_beta 90.00
_cell_angle_gamma 120.00
loop_
_atom_site_label
_atom_site_fract_x
_atom_site_fract_y
_atom_site_fract_z
Ca1 0.0000 0.0000 0.1493
Mg1 0.0000 0.0000 0.3965
Ag1 0.0000 0.3017 0.5000
Ag2 0.0000 0.5000 0.0000
Ag3 0.0022 0.5011 0.6526
# - E: -157.01 eV/cell
# - ΔH_f (0 K): -125 meV per atom



[12]
# ReSiSe2 PBE relaxed
data_ReSiSe2
_chemical_formula_sum 'Re2 Si2 Se4'
_space_group_name_H-M_alt 'C m m m'
_space_group_IT_number 65
_space_group_name_Hall '-C 2 2'
_cell_length_a 3.015
_cell_length_b 5.017
_cell_length_c 9.481
_cell_angle_alpha 90.00
_cell_angle_beta 90.00
_cell_angle_gamma 90.00
loop_
_atom_site_label
_atom_site_fract_x
_atom_site_fract_y
_atom_site_fract_z
Re1 0.000 0.000 0.000
Si1 0.000 0.000 0.500
Se1 0.000 0.500 0.221
# - E: -44.03 eV/cell
# - ΔE_f (raw): 706.7 meV per atom



What did the seventh record say?
# Dy3In2Ga PBE relaxed
data_Dy3In2Ga
_chemical_formula_sum 'Dy3 In2 Ga1'
_space_group_name_H-M_alt 'P -3 m 1'
_space_group_IT_number 164
_space_group_name_Hall '-P 3 2"'
_cell_length_a 5.2267
_cell_length_b 5.2267
_cell_length_c 6.4317
_cell_angle_alpha 90.00
_cell_angle_beta 90.00
_cell_angle_gamma 120.00
loop_
_atom_site_label
_atom_site_fract_x
_atom_site_fract_y
_atom_site_fract_z
Dy1 0.0000 0.0000 0.0000
Dy2 0.3333 0.6667 0.6542
In1 0.3333 0.6667 0.1596
Ga1 0.0000 0.0000 0.5000
# - E: -25.22 eV/cell
# - Excess energy over the best structure of this formula in the dataset: 15.3 meV/atom
# - ΔH_f (0 K): -484 meV per atom